Material: PuAlRu
Method: DFT, PBE-GGA
State: optimized geometry

Cell lengths 3.110, 3.110, 11.288 Å; angles 90.00, 90.00, 90.00 degrees
Sites, in units of the cell vectors:
Pu: 0.000 0.000 0.000
Pu: 0.500 0.500 0.500
Al: 0.000 0.000 0.288
Al: 0.500 0.500 0.788
Ru: 0.000 0.000 0.673
Ru: 0.500 0.500 0.173

Results
- Crystal system: tetragonal
- Formation energy from the elements: -1.00 eV/f.u.
- DFT total energy: -9.45 eV/atom